(1)
Here is crystalline NaLiMgGa at its relaxed geometry from the Alexandria database. Energies are from PBE.

a b c (Å): 4.8698 4.8698 4.8698
angles (deg): 60.00 60.00 60.00
Element x y z (fractional)
1 Li 0.0000 0.0000 0.0000
2 Na 0.7500 0.7500 0.7500
3 Ga 0.2500 0.2500 0.2500
4 Mg 0.5000 0.5000 0.5000

* volume: 20.4 Å³/atom
* ΔH_f (0 K): -94 meV per atom
* SG: F-43m, No. 216

---

(2)
Here is crystalline NaLiMgGa2 at its relaxed geometry from the Alexandria database. Energies are from PBE.

a b c (Å): 5.1424 5.2260 5.1424
angles (deg): 90.00 90.00 90.00
Element x y z (fractional)
1 Ga 0.0000 0.0000 0.5000
2 Ga 0.5000 0.0000 0.0000
3 Li 0.0000 0.5000 0.0000
4 Mg 0.0000 0.0000 0.0000
5 Na 0.5000 0.5000 0.5000

* volume: 27.6 Å³/atom
* ΔH_f (0 K): 244 meV per atom
* SG: P4/mmm, No. 123

---

(3)
Here is crystalline Na2LiMgGa at its relaxed geometry from the Alexandria database. Energies are from PBE.

a b c (Å): 5.1620 4.9515 5.1620
angles (deg): 90.00 90.00 90.00
Element x y z (fractional)
1 Na 0.0000 0.0000 0.5000
2 Na 0.5000 0.0000 0.0000
3 Ga 0.0000 0.5000 0.0000
4 Mg 0.5000 0.5000 0.5000
5 Li 0.0000 0.0000 0.0000

* volume: 26.4 Å³/atom
* ΔH_f (0 K): 252 meV per atom
* SG: P4/mmm, No. 123

---

(4)
Here is crystalline LiNdMgGa2 at its relaxed geometry from the Alexandria database. Energies are from PBE.

a b c (Å): 5.9976 5.7615 6.2875
angles (deg): 90.00 90.00 90.00
Element x y z (fractional)
1 Ga 0.7714 0.2500 0.2912
2 Ga 0.2286 0.7500 0.7088
3 Ga 0.2286 0.7500 0.2912
4 Ga 0.7714 0.2500 0.7088
5 Nd 0.7481 0.7500 0.5000
6 Nd 0.2519 0.2500 0.5000
7 Li 0.0000 0.0000 0.0000
8 Li 0.0000 0.5000 0.0000
9 Mg 0.5746 0.7500 0.0000
10 Mg 0.4254 0.2500 0.0000

* volume: 21.7 Å³/atom
* ΔH_f (0 K): -273 meV per atom
* SG: Pmma, No. 51

---

(5)
Here is crystalline LiNdMg2Ga2 at its relaxed geometry from the Alexandria database. Energies are from PBE.

a b c (Å): 4.6959 4.6959 6.7365
angles (deg): 90.00 90.00 120.00
Element x y z (fractional)
1 Mg 0.3333 0.6667 0.6759
2 Mg 0.6667 0.3333 0.3241
3 Li 0.0000 0.0000 0.5000
4 Nd 0.0000 0.0000 0.0000
5 Ga 0.3333 0.6667 0.2316
6 Ga 0.6667 0.3333 0.7684

* volume: 21.4 Å³/atom
* ΔH_f (0 K): -354 meV per atom
* SG: P-3m1, No. 164

---

(6)
Here is crystalline LiNdMgGa at its relaxed geometry from the Alexandria database. Energies are from PBE.

a b c (Å): 4.9733 4.9733 4.9733
angles (deg): 60.00 60.00 60.00
Element x y z (fractional)
1 Li 0.7500 0.7500 0.7500
2 Mg 0.0000 0.0000 0.0000
3 Nd 0.5000 0.5000 0.5000
4 Ga 0.2500 0.2500 0.2500

* volume: 21.7 Å³/atom
* ΔH_f (0 K): -337 meV per atom
* SG: F-43m, No. 216

---

(7)
Here is crystalline LiMgGa2Ni2 at its relaxed geometry from the Alexandria database. Energies are from PBE.

a b c (Å): 4.2530 4.2530 5.1055
angles (deg): 90.00 90.00 120.00
Element x y z (fractional)
1 Ga 0.6667 0.3333 0.8176
2 Ga 0.3333 0.6667 0.1824
3 Mg 0.0000 0.0000 0.5000
4 Ni 0.6667 0.3333 0.3140
5 Ni 0.3333 0.6667 0.6860
6 Li 0.0000 0.0000 0.0000

* volume: 13.3 Å³/atom
* ΔH_f (0 K): -362 meV per atom
* SG: P-3m1, No. 164

---

(8)
Here is crystalline LiMgGa2Ni at its relaxed geometry from the Alexandria database. Energies are from PBE.

a b c (Å): 4.5469 4.5469 4.7782
angles (deg): 90.00 90.00 90.00
Element x y z (fractional)
1 Ga 0.5000 0.0000 0.0000
2 Ga 0.0000 0.5000 0.0000
3 Li 0.5000 0.5000 0.5000
4 Ni 0.0000 0.0000 0.0000
5 Mg 0.0000 0.0000 0.5000

* volume: 19.8 Å³/atom
* ΔH_f (0 K): -148 meV per atom
* distance to the lowest polymorph of the same formula: 0.000 eV/atom
* SG: P4/mmm, No. 123

---

(9)
Here is crystalline LiMgGa2Ni at its relaxed geometry from the Alexandria database. Energies are from PBE.

a b c (Å): 4.4490 4.1944 4.4490
angles (deg): 90.00 90.00 90.00
Element x y z (fractional)
1 Ni 0.0000 0.5000 0.0000
2 Mg 0.5000 0.5000 0.5000
3 Ga 0.0000 0.0000 0.5000
4 Ga 0.5000 0.0000 0.0000
5 Li 0.0000 0.0000 0.0000

* volume: 16.6 Å³/atom
* ΔH_f (0 K): 283 meV per atom
* distance to the lowest polymorph of the same formula: 0.431 eV/atom
* SG: P4/mmm, No. 123

---

(10)
Here is crystalline LiMg30GaO32 at its relaxed geometry from the Alexandria database. Energies are from PBE.

a b c (Å): 8.5023 8.5023 8.5056
angles (deg): 90.00 90.00 90.00
Element x y z (fractional)
1 Mg 0.7527 0.2473 0.0000
2 Mg 0.7527 0.7527 0.0000
3 Mg 0.7509 0.0000 0.7549
4 Mg 0.2508 0.2508 0.5000
5 Mg 0.5000 0.2499 0.2488
6 Mg 0.0000 0.5000 0.0000
7 Mg 0.2473 0.2473 0.0000
8 Mg 0.0000 0.2491 0.2451
9 Mg 0.5000 0.7501 0.2488
10 Mg 0.2508 0.7492 0.5000
11 Mg 0.2499 0.5000 0.2488
12 Mg 0.7509 0.0000 0.2451
13 Mg 0.2491 0.0000 0.7549
14 Mg 0.7501 0.5000 0.2488
15 Mg 0.0000 0.5000 0.5000
16 Mg 0.7492 0.7492 0.5000
17 Mg 0.5000 0.0000 0.0000
18 Mg 0.7501 0.5000 0.7512
19 Mg 0.5000 0.5000 0.0000
20 Mg 0.5000 0.7501 0.7512
21 Mg 0.5000 0.5000 0.5000
22 Mg 0.2491 0.0000 0.2451
23 Mg 0.7492 0.2508 0.5000
24 Mg 0.0000 0.2491 0.7549
25 Mg 0.5000 0.2499 0.7512
26 Mg 0.2499 0.5000 0.7512
27 Mg 0.2473 0.7527 0.0000
28 Mg 0.0000 0.7509 0.7549
29 Mg 0.0000 0.7509 0.2451
30 Mg 0.5000 0.0000 0.5000
31 O 0.7494 0.5000 0.0000
32 O 0.7555 0.0000 0.5000
33 O 0.0000 0.2545 0.0000
34 O 0.7505 0.2495 0.7492
35 O 0.0000 0.5000 0.7472
36 O 0.7455 0.0000 0.0000
37 O 0.2495 0.7505 0.7492
38 O 0.5000 0.2488 0.5000
39 O 0.5000 0.0000 0.2528
40 O 0.7512 0.5000 0.5000
41 O 0.5000 0.0000 0.7472
42 O 0.7505 0.2495 0.2508
43 O 0.2495 0.7505 0.2508
44 O 0.5000 0.2506 0.0000
45 O 0.2506 0.5000 0.0000
46 O 0.5000 0.7512 0.5000
47 O 0.7505 0.7505 0.7492
48 O 0.0000 0.2445 0.5000
49 O 0.0000 0.7455 0.0000
50 O 0.0000 0.7555 0.5000
51 O 0.7505 0.7505 0.2508
52 O 0.5000 0.5000 0.7489
53 O 0.2488 0.5000 0.5000
54 O 0.0000 0.5000 0.2528
55 O 0.5000 0.7494 0.0000
56 O 0.2495 0.2495 0.2508
57 O 0.5000 0.5000 0.2511
58 O 0.0000 0.0000 0.2665
59 O 0.0000 0.0000 0.7335
60 O 0.2445 0.0000 0.5000
61 O 0.2545 0.0000 0.0000
62 O 0.2495 0.2495 0.7492
63 Li 0.0000 0.0000 0.0000
64 Ga 0.0000 0.0000 0.5000

* volume: 9.6 Å³/atom
* ΔE_f (raw): -2658.1 meV per atom
* SG: P4/mmm, No. 123

---

(11)
Here is crystalline LiMg2GaO4 at its relaxed geometry from the Alexandria database. Energies are from PBE.

a b c (Å): 4.6170 4.6170 5.5122
angles (deg): 114.76 114.76 90.00
Element x y z (fractional)
1 O 0.8576 0.3887 0.2462
2 O 0.1425 0.1425 0.7539
3 O 0.3887 0.8576 0.2462
4 O 0.6114 0.6114 0.7539
5 Li 0.0001 0.0001 0.0001
6 Mg 0.7500 0.2500 0.5001
7 Mg 0.2500 0.7500 0.5001
8 Ga 0.5000 0.5000 0.0001

* volume: 11.8 Å³/atom
* ΔE_f (raw): -2313.1 meV per atom
* SG: I-42m, No. 121

---

(12)
Here is crystalline LiMg2GaO at its relaxed geometry from the Alexandria database. Energies are from PBE.

a b c (Å): 4.2022 4.2022 4.1888
angles (deg): 90.00 90.00 90.00
Element x y z (fractional)
1 Mg 0.0000 0.5000 0.0000
2 Mg 0.5000 0.0000 0.0000
3 O 0.0000 0.0000 0.0000
4 Li 0.0000 0.0000 0.5000
5 Ga 0.5000 0.5000 0.5000

* volume: 14.8 Å³/atom
* ΔE_f (raw): -1032.0 meV per atom
* SG: P4/mmm, No. 123

---

(13)
Here is crystalline LiMgGa4Pd2 at its relaxed geometry from the Alexandria database. Energies are from PBE.

a b c (Å): 3.7572 3.7572 10.4241
angles (deg): 90.00 90.00 90.00
Element x y z (fractional)
1 Ga 0.5000 0.0000 0.1977
2 Ga 0.0000 0.5000 0.8023
3 Ga 0.0000 0.5000 0.1977
4 Ga 0.5000 0.0000 0.8023
5 Pd 0.5000 0.5000 0.6285
6 Pd 0.5000 0.5000 0.3715
7 Mg 0.0000 0.0000 0.5000
8 Li 0.0000 0.0000 0.0000

* volume: 18.4 Å³/atom
* ΔH_f (0 K): -301 meV per atom
* SG: P4/mmm, No. 123

---

(14)
Here is crystalline LiMgGa2Pd2 at its relaxed geometry from the Alexandria database. Energies are from PBE.

a b c (Å): 4.4275 4.4275 5.3759
angles (deg): 90.00 90.00 120.00
Element x y z (fractional)
1 Mg 0.0000 0.0000 0.5000
2 Ga 0.3333 0.6667 0.8186
3 Ga 0.6667 0.3333 0.1814
4 Li 0.0000 0.0000 0.0000
5 Pd 0.3333 0.6667 0.3072
6 Pd 0.6667 0.3333 0.6928

* volume: 15.2 Å³/atom
* ΔH_f (0 K): -622 meV per atom
* SG: P-3m1, No. 164

---

(15)
Here is crystalline LiPmMgGa2 at its relaxed geometry from the Alexandria database. Energies are from PBE.

a b c (Å): 5.9684 5.7256 6.2676
angles (deg): 90.00 90.00 90.00
Element x y z (fractional)
1 Ga 0.7691 0.2500 0.7090
2 Ga 0.2309 0.7500 0.7090
3 Ga 0.7691 0.2500 0.2910
4 Ga 0.2309 0.7500 0.2910
5 Li 0.0000 0.0000 0.0000
6 Li 0.0000 0.5000 0.0000
7 Mg 0.4212 0.2500 0.0000
8 Mg 0.5788 0.7500 0.0000
9 Pm 0.2501 0.2500 0.5000
10 Pm 0.7499 0.7500 0.5000

* volume: 21.4 Å³/atom
* ΔH_f (0 K): -276 meV per atom
* SG: Pmma, No. 51

---

(16)
Here is crystalline Li2Pm2MgGa5 at its relaxed geometry from the Alexandria database. Energies are from PBE.

a b c (Å): 4.2177 9.5023 9.5023
angles (deg): 90.00 90.00 90.00
Element x y z (fractional)
1 Mg 0.0000 0.5000 0.5000
2 Mg 0.0000 0.0000 0.0000
3 Ga 0.5000 0.2077 0.0583
4 Ga 0.5000 0.7077 0.4417
5 Ga 0.5000 0.7923 0.9417
6 Ga 0.5000 0.5000 0.0000
7 Ga 0.5000 0.5583 0.7077
8 Ga 0.5000 0.4417 0.2923
9 Ga 0.5000 0.9417 0.2077
10 Ga 0.5000 0.2923 0.5583
11 Ga 0.5000 0.0583 0.7923
12 Ga 0.5000 0.0000 0.5000
13 Pm 0.0000 0.8160 0.6840
14 Pm 0.0000 0.3160 0.8160
15 Pm 0.0000 0.6840 0.1840
16 Pm 0.0000 0.1840 0.3160
17 Li 0.0000 0.6102 0.8898
18 Li 0.0000 0.1102 0.6102
19 Li 0.0000 0.3898 0.1102
20 Li 0.0000 0.8898 0.3898

* volume: 19.0 Å³/atom
* ΔH_f (0 K): -432 meV per atom
* SG: P4/mbm, No. 127

---

(17)
Here is crystalline LiPmMgGa at its relaxed geometry from the Alexandria database. Energies are from PBE.

a b c (Å): 4.9484 4.9484 4.9484
angles (deg): 60.00 60.00 60.00
Element x y z (fractional)
1 Ga 0.2500 0.2500 0.2500
2 Mg 0.5000 0.5000 0.5000
3 Li 0.7500 0.7500 0.7500
4 Pm 0.0000 0.0000 0.0000

* volume: 21.4 Å³/atom
* ΔH_f (0 K): -338 meV per atom
* SG: F-43m, No. 216

---

(18)
Here is crystalline Li2MgGa2Pt2 at its relaxed geometry from the Alexandria database. Energies are from PBE.

a b c (Å): 4.0720 4.9599 5.6917
angles (deg): 91.34 90.00 114.24
Element x y z (fractional)
1 Pt 0.7066 0.4131 0.1714
2 Pt 0.2934 0.5869 0.8286
3 Li 0.4161 0.8321 0.2881
4 Li 0.5839 0.1679 0.7119
5 Ga 0.8568 0.7136 0.5712
6 Ga 0.1432 0.2864 0.4288
7 Mg 0.0000 0.0000 0.0000

* volume: 15.0 Å³/atom
* ΔH_f (0 K): -646 meV per atom
* SG: C2/m, No. 12

---

(19)
Here is crystalline LiMgGa2Pt2 at its relaxed geometry from the Alexandria database. Energies are from PBE.

a b c (Å): 4.4178 4.4178 5.4598
angles (deg): 90.00 90.00 120.00
Element x y z (fractional)
1 Ga 0.3333 0.6667 0.8070
2 Ga 0.6667 0.3333 0.1930
3 Pt 0.3333 0.6667 0.2851
4 Pt 0.6667 0.3333 0.7149
5 Mg 0.0000 0.0000 0.5000
6 Li 0.0000 0.0000 0.0000

* volume: 15.4 Å³/atom
* ΔH_f (0 K): -737 meV per atom
* SG: P-3m1, No. 164

---

(20)
Here is crystalline LiMgGa2Pt4 at its relaxed geometry from the Alexandria database. Energies are from PBE.

a b c (Å): 4.3650 4.3650 7.5668
angles (deg): 73.24 73.24 60.00
Element x y z (fractional)
1 Ga 0.2478 0.2478 0.2565
2 Ga 0.7522 0.7522 0.7435
3 Li 0.5000 0.5000 0.5000
4 Pt 0.8743 0.8743 0.3771
5 Pt 0.6232 0.6232 0.1302
6 Pt 0.3767 0.3767 0.8698
7 Pt 0.1257 0.1257 0.6229
8 Mg 0.0000 0.0000 0.0000

* volume: 14.7 Å³/atom
* ΔH_f (0 K): -714 meV per atom
* SG: R-3m, No. 166

---

(21)
Here is crystalline LiPuMgGa at its relaxed geometry from the Alexandria database. Energies are from PBE.

a b c (Å): 4.9043 4.9043 4.9043
angles (deg): 60.00 60.00 60.00
Element x y z (fractional)
1 Ga 0.2500 0.2500 0.2500
2 Mg 0.5000 0.5000 0.5000
3 Pu 0.0000 0.0000 0.0000
4 Li 0.7500 0.7500 0.7500

* volume: 20.9 Å³/atom
* ΔH_f (0 K): -114 meV per atom
* SG: F-43m, No. 216

---

(22)
Here is crystalline LiMg3Ga3Ru2 at its relaxed geometry from the Alexandria database. Energies are from PBE.

a b c (Å): 3.0508 7.3778 7.3778
angles (deg): 120.00 90.00 90.00
Element x y z (fractional)
1 Ga 0.0000 0.6122 0.6122
2 Ga 0.0000 0.3878 0.0000
3 Ga 0.0000 0.0000 0.3878
4 Mg 0.5000 0.7141 0.0000
5 Mg 0.5000 0.2859 0.2859
6 Mg 0.5000 0.0000 0.7141
7 Li 0.0000 0.0000 0.0000
8 Ru 0.5000 0.3333 0.6667
9 Ru 0.5000 0.6667 0.3333

* volume: 16.0 Å³/atom
* ΔH_f (0 K): -62 meV per atom
* SG: P-62m, No. 189

---

(23)
Here is crystalline Li2MgGaSb at its relaxed geometry from the Alexandria database. Energies are from PBE.

a b c (Å): 5.2865 5.2792 5.2865
angles (deg): 90.00 90.00 90.00
Element x y z (fractional)
1 Ga 0.5000 0.5000 0.5000
2 Sb 0.0000 0.5000 0.0000
3 Li 0.0000 0.0000 0.5000
4 Li 0.5000 0.0000 0.0000
5 Mg 0.0000 0.0000 0.0000

* volume: 29.5 Å³/atom
* ΔE_f (raw): 325.8 meV per atom
* SG: P4/mmm, No. 123

---

Number 1: Fermi-level density of states 0.54 states/eV per atom. Number 2: Fermi-level density of states 0.56 states/eV per atom. Number 3: Fermi-level density of states 0.51 states/eV per atom. Number 4: Fermi-level density of states 0.82 states/eV per atom. Number 5: Fermi-level density of states 0.64 states/eV per atom. Number 6: Fermi-level density of states 0.57 states/eV per atom. Number 7: Fermi-level density of states 0.22 states/eV per atom. Number 8: Fermi-level density of states 0.38 states/eV per atom. Number 9: Fermi-level density of states 0.47 states/eV per atom. Number 10: Fermi-level density of states 0.00 states/eV per atom. Number 11: Fermi-level density of states 0.00 states/eV per atom. Number 12: Fermi-level density of states 0.37 states/eV per atom. Number 13: Fermi-level density of states 0.45 states/eV per atom. Number 14: Fermi-level density of states 0.19 states/eV per atom. Number 15: Fermi-level density of states 0.80 states/eV per atom. Number 16: Fermi-level density of states 0.24 states/eV per atom. Number 17: Fermi-level density of states 0.58 states/eV per atom. Number 18: Fermi-level density of states 0.25 states/eV per atom. Number 19: Fermi-level density of states 0.10 states/eV per atom. Number 20: Fermi-level density of states 0.68 states/eV per atom. Number 21: Fermi-level density of states 2.00 states/eV per atom. Number 22: Fermi-level density of states 0.66 states/eV per atom. Number 23: Fermi-level density of states 0.16 states/eV per atom.